# 1
First-principles (PBE-GGA) data for crystalline Na2CrFeAu at its relaxed geometry, as listed in Alexandria via LeMat-Bulk. Values from VASP.

Space group   P4/mmm, No. 123

```
&SYSTEM
  ibrav = 0, nat = 5, ntyp = 4
/
ATOMIC_SPECIES
Cr 52.00 Cr.upf
Au 196.97 Au.upf
Fe 55.84 Fe.upf
Na 22.99 Na.upf
CELL_PARAMETERS angstrom
5.4726 0.0000 0.0000
0.0000 4.2596 0.0000
0.0000 0.0000 5.4726
ATOMIC_POSITIONS crystal
Cr 0.0000 0.0000 0.0000
Au 0.5000 0.5000 0.5000
Fe 0.0000 0.5000 0.0000
Na 0.0000 0.0000 0.5000
Na 0.5000 0.0000 0.0000
```


# 2
First-principles (PBE-GGA) data for crystalline Fe3Co2Ni7 at its relaxed geometry, as listed in Alexandria via LeMat-Bulk. Values from VASP.

Space group   P2/m, No. 10
Excess energy over the best structure of this formula in the dataset   0.0 meV per atom

```
&SYSTEM
  ibrav = 0, nat = 12, ntyp = 3
/
ATOMIC_SPECIES
Fe 55.84 Fe.upf
Co 58.93 Co.upf
Ni 58.69 Ni.upf
CELL_PARAMETERS angstrom
2.4700 0.0000 0.0000
0.0000 4.1042 -0.4655
0.0000 0.7656 13.4530
ATOMIC_POSITIONS crystal
Fe 0.5000 0.5000 0.0000
Fe 0.0000 0.2251 0.3647
Fe 0.0000 0.7749 0.6353
Co 0.5000 0.7121 0.2945
Co 0.5000 0.2879 0.7055
Ni 0.5000 0.7431 0.4628
Ni 0.5000 0.2569 0.5372
Ni 0.0000 0.6912 0.1453
Ni 0.0000 0.0000 0.0000
Ni 0.0000 0.3088 0.8547
Ni 0.5000 0.8046 0.8184
Ni 0.5000 0.1954 0.1816
```


Looking at electronic total energy for the records above, in order, we have -3.7573, -6.5534 eV/atom.
Looking at density for the records above, in order, we have 4.57, 8.42 g cm⁻³.
Looking at ΔE_f for the records above, in order, we have 1.043, 0.119 eV/atom.